BaPSe2 | PBE | optimized geometry

Output
Energy relative to the elements, uncorrected = -0.4083 eV/atom
Volume = 43.68 A^3/atom
Crystal system = trigonal
Uncorrected energy = -15.9 eV/f.u.

CIF file:
```
data_BaPSe2
_chemical_formula_sum 'Ba3 P3 Se6'
_symmetry_space_group_name_H-M 'R -3 m'
_symmetry_Int_Tables_number 166
_symmetry_space_group_name_Hall '-R 3 2"'
_cell_length_a 5.1171
_cell_length_b 5.1171
_cell_length_c 23.1172
_cell_angle_alpha 90.00
_cell_angle_beta 90.00
_cell_angle_gamma 120.00
loop_
_atom_site_label
_atom_site_type_symbol
_atom_site_fract_x
_atom_site_fract_y
_atom_site_fract_z
_atom_site_occupancy
Ba1 Ba 0.0000 0.0000 0.0000 1
P1 P 0.0000 0.0000 0.5000 1
Se1 Se 0.0000 0.0000 0.3975 1
```


Y2ZrGaCu | PBE | optimized geometry

Output
Volume = 30.50 A^3/atom
Crystal system = tetragonal
Uncorrected energy = -24.4 eV/f.u.

CIF file:
```
data_Y2ZrGaCu
_chemical_formula_sum 'Y2 Zr1 Ga1 Cu1'
_symmetry_space_group_name_H-M 'P 4/m m m'
_symmetry_Int_Tables_number 123
_symmetry_space_group_name_Hall '-P 4 2'
_cell_length_a 5.4408
_cell_length_b 5.4408
_cell_length_c 5.1511
_cell_angle_alpha 90.00
_cell_angle_beta 90.00
_cell_angle_gamma 90.00
loop_
_atom_site_label
_atom_site_type_symbol
_atom_site_fract_x
_atom_site_fract_y
_atom_site_fract_z
_atom_site_occupancy
Y1 Y 0.0000 0.5000 0.0000 1
Zr1 Zr 0.0000 0.0000 0.0000 1
Ga1 Ga 0.0000 0.0000 0.5000 1
Cu1 Cu 0.5000 0.5000 0.5000 1
```


Cd2InW | PBE | optimized geometry

Output
Volume = 20.79 A^3/atom
Crystal system = tetragonal
Uncorrected energy = -15.6 eV/f.u.

CIF file:
```
data_Cd2InW
_chemical_formula_sum 'Cd2 In1 W1'
_symmetry_space_group_name_H-M 'P 4/m m m'
_symmetry_Int_Tables_number 123
_symmetry_space_group_name_Hall '-P 4 2'
_cell_length_a 2.9283
_cell_length_b 2.9283
_cell_length_c 9.6979
_cell_angle_alpha 90.00
_cell_angle_beta 90.00
_cell_angle_gamma 90.00
loop_
_atom_site_label
_atom_site_type_symbol
_atom_site_fract_x
_atom_site_fract_y
_atom_site_fract_z
_atom_site_occupancy
Cd1 Cd 0.0000 0.0000 0.2237 1
In1 In 0.5000 0.5000 0.5000 1
W1 W 0.5000 0.5000 0.0000 1
```


Nd2Ga4AgAu3 | PBE | optimized geometry

Output
Volume = 20.82 A^3/atom
Crystal system = tetragonal
Uncorrected energy = -40.3 eV/f.u.

CIF file:
```
data_Nd2Ga4AgAu3
_chemical_formula_sum 'Nd2 Ga4 Ag1 Au3'
_symmetry_space_group_name_H-M 'P -4 m 2'
_symmetry_Int_Tables_number 115
_cell_length_a 4.4232
_cell_length_b 4.4232
_cell_length_c 10.6418
_cell_angle_alpha 90.00
_cell_angle_beta 90.00
_cell_angle_gamma 90.00
loop_
_symmetry_equiv_pos_as_xyz
'x,y,z'
'y,-x,-z'
'-x,-y,z'
'-y,x,-z'
'-x,y,z'
'-y,-x,-z'
'x,-y,z'
'y,x,-z'
loop_
_atom_site_label
_atom_site_type_symbol
_atom_site_fract_x
_atom_site_fract_y
_atom_site_fract_z
_atom_site_occupancy
Nd1 Nd 0.0000 0.5000 0.2493 1
Ga1 Ga 0.0000 0.0000 0.0000 1
Ga2 Ga 0.0000 0.5000 0.6338 1
Ga3 Ga 0.5000 0.5000 0.0000 1
Ag1 Ag 0.0000 0.0000 0.5000 1
Au1 Au 0.0000 0.5000 0.8688 1
Au2 Au 0.5000 0.5000 0.5000 1
```


HoPa5As6 | PBE | optimized geometry

Output
Volume = 24.22 A^3/atom
Crystal system = monoclinic
Uncorrected energy = -93.5 eV/f.u.

CIF file:
```
data_HoPa5As6
_chemical_formula_sum 'Ho2 Pa10 As12'
_symmetry_space_group_name_H-M 'C 1 2/m 1'
_symmetry_Int_Tables_number 12
_cell_length_a 7.0879
_cell_length_b 12.2808
_cell_length_c 7.0850
_cell_angle_alpha 90.00
_cell_angle_beta 109.50
_cell_angle_gamma 90.00
loop_
_symmetry_equiv_pos_as_xyz
'x,y,z'
'-x,-y,-z'
'-x,y,-z'
'x,-y,z'
'x+1/2,y+1/2,z'
'-x+1/2,-y+1/2,-z'
'-x+1/2,y+1/2,-z'
'x+1/2,-y+1/2,z'
loop_
_atom_site_label
_atom_site_type_symbol
_atom_site_fract_x
_atom_site_fract_y
_atom_site_fract_z
_atom_site_occupancy
Ho1 Ho 0.0000 0.0000 0.0000 1
Pa1 Pa 0.0000 0.1661 0.5000 1
Pa2 Pa 0.0000 0.3334 0.0000 1
Pa3 Pa 0.0000 0.5000 0.5000 1
As1 As 0.2491 0.0000 0.7511 1
As2 As 0.2489 0.1660 0.2487 1
```


HfSeBrN2 | PBE | optimized geometry

Output
Energy relative to the elements, uncorrected = 0.4188 eV/atom
Volume = 19.79 A^3/atom
Crystal system = tetragonal
Uncorrected energy = -29.7 eV/f.u.

CIF file:
```
data_HfSeBrN2
_chemical_formula_sum 'Hf1 Se1 Br1 N2'
_symmetry_space_group_name_H-M 'P 4/m m m'
_symmetry_Int_Tables_number 123
_symmetry_space_group_name_Hall '-P 4 2'
_cell_length_a 4.0907
_cell_length_b 4.0907
_cell_length_c 5.9132
_cell_angle_alpha 90.00
_cell_angle_beta 90.00
_cell_angle_gamma 90.00
loop_
_atom_site_label
_atom_site_type_symbol
_atom_site_fract_x
_atom_site_fract_y
_atom_site_fract_z
_atom_site_occupancy
Hf1 Hf 0.0000 0.0000 0.0000 1
Se1 Se 0.0000 0.0000 0.5000 1
Br1 Br 0.5000 0.5000 0.5000 1
N1 N 0.0000 0.5000 0.0000 1
```


Ho2Zn5CdRu2 | PBE | optimized geometry

Output
Volume = 18.45 A^3/atom
Crystal system = tetragonal
Uncorrected energy = -36.9 eV/f.u.

CIF file:
```
data_Ho2Zn5CdRu2
_chemical_formula_sum 'Ho4 Zn10 Cd2 Ru4'
_symmetry_space_group_name_H-M 'P 4/m b m'
_symmetry_Int_Tables_number 127
_symmetry_space_group_name_Hall '-P 4 2ab'
_cell_length_a 9.4236
_cell_length_b 9.4236
_cell_length_c 4.1555
_cell_angle_alpha 90.00
_cell_angle_beta 90.00
_cell_angle_gamma 90.00
loop_
_atom_site_label
_atom_site_type_symbol
_atom_site_fract_x
_atom_site_fract_y
_atom_site_fract_z
_atom_site_occupancy
Ho1 Ho 0.1744 0.3256 0.0000 1
Zn1 Zn 0.0000 0.5000 0.5000 1
Zn2 Zn 0.0652 0.7866 0.5000 1
Cd1 Cd 0.0000 0.0000 0.0000 1
Ru1 Ru 0.1214 0.6214 0.0000 1
```


LiH3Pt | PBE | optimized geometry

Output
Volume = 9.76 A^3/atom
Crystal system = monoclinic
Uncorrected energy = -19.2 eV/f.u.

CIF file:
```
data_LiH3Pt
_chemical_formula_sum 'Li8 H24 Pt8'
_symmetry_space_group_name_H-M 'C 1 2/c 1'
_symmetry_Int_Tables_number 15
_cell_length_a 9.1329
_cell_length_b 7.6764
_cell_length_c 5.7857
_cell_angle_alpha 90.00
_cell_angle_beta 105.72
_cell_angle_gamma 90.00
loop_
_symmetry_equiv_pos_as_xyz
'x,y,z'
'-x,-y,-z'
'-x,y,-z+1/2'
'x,-y,z+1/2'
'x+1/2,y+1/2,z'
'-x+1/2,-y+1/2,-z'
'-x+1/2,y+1/2,-z+1/2'
'x+1/2,-y+1/2,z+1/2'
loop_
_atom_site_label
_atom_site_type_symbol
_atom_site_fract_x
_atom_site_fract_y
_atom_site_fract_z
_atom_site_occupancy
Li1 Li 0.1793 0.1305 0.1954 1
H1 H 0.0484 0.2260 0.4495 1
H2 H 0.1238 0.4093 0.8616 1
H3 H 0.1320 0.0927 0.8390 1
Pt1 Pt 0.0000 0.2446 0.7500 1
Pt2 Pt 0.0000 0.3870 0.2500 1
```